DFT (GGA-PBE) results for ZrBr after structural relaxation.

Results
distance to the lowest polymorph of the same formula: 1273 meV/atom
size of the total moment: 1.35 μB per formula unit

a = 6.1724 Å, b = 6.1724 Å, c = 6.1724 Å
α = 90.00°, β = 90.00°, γ = 90.00°
With the nearest neighbours (Å) after each atom.
Atoms (fractional coordinates):
Zr 0.0000 0.0000 0.0000  4 Br 2.67
Zr 0.0000 0.5000 0.5000  4 Br 2.67
Zr 0.5000 0.0000 0.5000  4 Br 2.67
Zr 0.5000 0.5000 0.0000  4 Br 2.67
Br 0.2500 0.2500 0.2500  4 Zr 2.67
Br 0.2500 0.7500 0.7500  4 Zr 2.67
Br 0.7500 0.2500 0.7500  4 Zr 2.67
Br 0.7500 0.7500 0.2500  4 Zr 2.67

DFT (GGA-PBE) results for ZrBr5 after structural relaxation.

Results
size of the total moment: 1.73 μB per formula unit

a = 5.4780 Å, b = 5.4780 Å, c = 7.9082 Å
α = 90.00°, β = 90.00°, γ = 120.00°
With the nearest neighbours (Å) after each atom.
Atoms (fractional coordinates):
Zr 0.0000 0.0000 0.0000  6 Br 3.16
Br 0.3333 0.6667 0.0000  3 Br 3.16, 3 Zr 3.16
Br 0.6667 0.3333 0.0000  3 Br 3.16, 3 Zr 3.16
Br 0.5000 0.0000 0.5000  4 Br 2.74
Br 0.0000 0.5000 0.5000  4 Br 2.74
Br 0.5000 0.5000 0.5000  4 Br 2.74

Taking the records one at a time from the top gives energy relative to the elements, uncorrected values of 0.28 0.07 eV per atom.